(1)
# Si3Os2, optimized geometry, DFT PBE-GGA
data_Si3Os2
_chemical_formula_sum 'Si12 Os8'
_cell_length_a 5.647
_cell_length_b 5.647
_cell_length_c 8.925
_cell_angle_alpha 90.00
_cell_angle_beta 90.00
_cell_angle_gamma 90.00
_symmetry_space_group_name_H-M 'P -4 c 2'
_symmetry_Int_Tables_number 116
loop_
_symmetry_equiv_pos_as_xyz
'x,y,z'
'y,-x,-z'
'-x,-y,z'
'-y,x,-z'
'-x,y,z+1/2'
'-y,-x,-z+1/2'
'x,-y,z+1/2'
'y,x,-z+1/2'
loop_
_atom_site_label
_atom_site_type_symbol
_atom_site_fract_x
_atom_site_fract_y
_atom_site_fract_z
Si1 Si 0.144 0.294 0.410
Si2 Si 0.332 0.332 0.750
Os1 Os 0.000 0.000 0.250
Os2 Os 0.000 0.500 0.128
Os3 Os 0.500 0.500 0.000
# Crystal system ... tetragonal
# Formation energy from raw total energies ... -421 meV per atom

(2)
# LiPmReN3, optimized geometry, DFT PBE-GGA
data_LiPmReN3
_chemical_formula_sum 'Li4 Pm4 Re4 N12'
_cell_length_a 3.381
_cell_length_b 11.595
_cell_length_c 8.051
_cell_angle_alpha 90.00
_cell_angle_beta 90.00
_cell_angle_gamma 90.00
_symmetry_space_group_name_H-M 'C m c m'
_symmetry_Int_Tables_number 63
_symmetry_space_group_name_Hall '-C 2c 2'
loop_
_atom_site_label
_atom_site_type_symbol
_atom_site_fract_x
_atom_site_fract_y
_atom_site_fract_z
Li1 Li 0.000 0.000 0.000
Pm1 Pm 0.000 0.296 0.250
Re1 Re 0.000 0.445 0.750
N1 N 0.000 0.045 0.750
N2 N 0.000 0.356 0.565
# Crystal system ... orthorhombic
# Formation energy from raw total energies ... -553 meV per atom

(3)
# ThZrU2P4, optimized geometry, DFT PBE-GGA
data_ThZrU2P4
_chemical_formula_sum 'Th1 Zr1 U2 P4'
_cell_length_a 6.821
_cell_length_b 3.927
_cell_length_c 6.866
_cell_angle_alpha 90.00
_cell_angle_beta 109.11
_cell_angle_gamma 90.00
_symmetry_space_group_name_H-M 'P 1 2/m 1'
_symmetry_Int_Tables_number 10
loop_
_symmetry_equiv_pos_as_xyz
'x,y,z'
'-x,-y,-z'
'-x,y,-z'
'x,-y,z'
loop_
_atom_site_label
_atom_site_type_symbol
_atom_site_fract_x
_atom_site_fract_y
_atom_site_fract_z
Th1 Th 0.000 0.000 0.000
Zr1 Zr 0.500 0.500 0.000
U1 U 0.000 0.500 0.500
U2 U 0.500 0.000 0.500
P1 P 0.263 0.000 0.752
P2 P 0.266 0.500 0.256
# Crystal system ... monoclinic
# Calculated formation energy ... -9.60 eV per formula unit

(4)
# Ag4PdBr8, optimized geometry, DFT PBE-GGA
data_Ag4PdBr8
_chemical_formula_sum 'Ag12 Pd3 Br24'
_cell_length_a 7.8498
_cell_length_b 7.8498
_cell_length_c 19.3700
_cell_angle_alpha 90.00
_cell_angle_beta 90.00
_cell_angle_gamma 120.00
_symmetry_space_group_name_H-M 'R -3 m'
_symmetry_Int_Tables_number 166
_symmetry_space_group_name_Hall '-R 3 2"'
loop_
_atom_site_label
_atom_site_type_symbol
_atom_site_fract_x
_atom_site_fract_y
_atom_site_fract_z
Ag1 Ag 0.0000 0.0000 0.0000
Ag2 Ag 0.0000 0.5000 0.0000
Pd1 Pd 0.0000 0.0000 0.5000
Br1 Br 0.0000 0.0000 0.2584
Br2 Br 0.0042 0.5021 0.2412
# Crystal system ... trigonal
# Formation energy from raw total energies ... -215 meV per atom

(5)
# Pr2Sm3HoS6, optimized geometry, DFT PBE-GGA
data_Pr2Sm3HoS6
_chemical_formula_sum 'Pr4 Sm6 Ho2 S12'
_cell_length_a 17.494
_cell_length_b 4.007
_cell_length_c 8.088
_cell_angle_alpha 90.00
_cell_angle_beta 103.15
_cell_angle_gamma 90.00
_symmetry_space_group_name_H-M 'C 1 2/m 1'
_symmetry_Int_Tables_number 12
loop_
_symmetry_equiv_pos_as_xyz
'x,y,z'
'-x,-y,-z'
'-x,y,-z'
'x,-y,z'
'x+1/2,y+1/2,z'
'-x+1/2,-y+1/2,-z'
'-x+1/2,y+1/2,-z'
'x+1/2,-y+1/2,z'
loop_
_atom_site_label
_atom_site_type_symbol
_atom_site_fract_x
_atom_site_fract_y
_atom_site_fract_z
Pr1 Pr 0.167 0.000 0.336
Sm1 Sm 0.000 0.500 0.500
Sm2 Sm 0.170 0.000 0.833
Ho1 Ho 0.000 0.500 0.000
S1 S 0.003 0.000 0.760
S2 S 0.162 0.500 0.075
S3 S 0.164 0.500 0.588
# Crystal system ... monoclinic
# Formation energy from raw total energies ... -2010 meV per atom

(6)
# AcLuSnPb, optimized geometry, DFT PBE-GGA
data_AcLuSnPb
_chemical_formula_sum 'Ac4 Lu4 Sn4 Pb4'
_cell_length_a 7.923
_cell_length_b 7.923
_cell_length_c 7.923
_cell_angle_alpha 90.00
_cell_angle_beta 90.00
_cell_angle_gamma 90.00
_symmetry_space_group_name_H-M 'F -4 3 m'
_symmetry_Int_Tables_number 216
_symmetry_space_group_name_Hall 'F -4 2 3'
loop_
_atom_site_label
_atom_site_type_symbol
_atom_site_fract_x
_atom_site_fract_y
_atom_site_fract_z
Ac1 Ac 0.000 0.000 0.000
Lu1 Lu 0.000 0.000 0.500
Sn1 Sn 0.250 0.250 0.250
Pb1 Pb 0.250 0.250 0.750
# Crystal system ... cubic
# Calculated formation energy ... -1.64 eV per formula unit